(1)
# Zr3Zn9Ni2

Zr3Zn9Ni2 after structural relaxation (PBE, Alexandria).

Cell and atoms, written as extended XYZ:
```
14
Lattice="-2.118 4.590 5.660 2.118 -4.590 5.660 2.118 4.590 -5.660" Properties=species:S:1:pos:R:3 pbc="T T T"
Zr 0.000 0.000 0.000
Zr 0.000 0.000 3.349
Zr 0.000 0.000 7.971
Zn 2.118 -1.233 1.587
Zn 2.118 -2.035 4.111
Zn 2.118 1.233 1.587
Zn 0.000 2.555 1.549
Zn 0.000 4.590 0.000
Zn 2.118 2.035 4.111
Zn 0.000 3.357 4.073
Zn 0.000 6.625 1.549
Zn 0.000 5.823 4.073
Ni 2.118 3.199 0.000
Ni 0.000 1.391 5.660
```

* E_tot: -0.1374 Ha/atom
* magnetization: 0.0 μB per cell
* space group: Immm (71)

(2)
# ZrZn2Ni2

ZrZn2Ni2 after structural relaxation (PBE, Alexandria).

Cell and atoms, written as extended XYZ:
```
10
Lattice="2.283 -4.255 0.000 2.283 4.255 0.000 -2.282 0.000 8.104" Properties=species:S:1:pos:R:3 pbc="T T T"
Zr 0.572 3.190 6.078
Zr 1.712 -3.190 2.026
Zn 1.702 1.058 0.023
Zn 0.561 -1.058 4.075
Zn 1.723 1.058 4.030
Zn 0.583 -1.058 8.082
Ni 1.712 2.510 2.026
Ni 0.572 0.385 6.078
Ni 1.712 -0.385 2.026
Ni 0.572 -2.510 6.078
```

* E_tot: -0.1733 Ha/atom
* magnetization: 0.0 μB per cell
* space group: C2/c (15)
* distance to the lowest polymorph of the same formula: 1.730 kcal/mol of atoms

Number 1: energy of formation -354 kJ/mol of formula units. Number 2: energy of formation -89 kJ/mol of formula units.